The following is a DFT calculation (PBE+U) of a relaxed LiMgCrF6 crystal.

The total DFT energy (no corrections) comes out at -5.509 eV per atom. The calculation puts the density of states at the Fermi level at 0.000 states/eV per atom. Its spin magnetization is 0.333 μB/atom.

It has space group P-31c (No. 163), with a = 5.1719 Å, b = 5.1719 Å, c = 8.9887 Å, α = 90.00°, β = 90.00° and γ = 120.00°. Symmetry generates all atoms from Li at (0.0000, 0.0000, 0.0000), Mg at (0.3333, 0.6667, 0.2500), Cr at (0.3333, 0.6667, 0.7500) and F at (0.0090, 0.3528, 0.6341).